1.
Crystalline SmPuTe6 at its relaxed geometry, computed with PBE.

```
8
Lattice="4.372 0.000 0.000 0.000 2.185 13.485 0.000 -2.185 13.485" Properties=species:S:1:pos:R:3 pbc="T T T"
Sm 0.000 0.000 0.000
Pu 2.186 0.000 17.691
Te 0.000 0.000 3.315
Te 0.000 0.000 10.962
Te 0.000 0.000 20.145
Te 2.186 0.000 6.661
Te 2.186 0.000 14.445
Te 2.186 0.000 24.445
```

The total DFT energy (no corrections) comes out at -5.5761 eV/atom. The crystal system is orthorhombic. The total moment is 4.840 μB per formula unit.


2.
Crystalline Sm2Pu2Te5 at its relaxed geometry, computed with PBE.

```
18
Lattice="7.878 -4.171 0.000 7.878 4.171 0.000 0.000 0.000 8.412" Properties=species:S:1:pos:R:3 pbc="T T T"
Sm 7.878 2.926 7.139
Sm 7.878 1.245 2.933
Sm 7.878 -1.245 5.479
Sm 7.878 -2.926 1.273
Pu 3.085 0.000 4.206
Pu 4.793 0.000 0.000
Pu 10.963 0.000 0.000
Pu 12.671 0.000 4.206
Te 0.000 0.000 4.206
Te 5.688 2.855 1.296
Te 5.688 1.315 5.502
Te 10.068 2.855 1.296
Te 10.068 1.315 5.502
Te 7.878 0.000 0.000
Te 5.688 -1.315 2.910
Te 5.688 -2.855 7.116
Te 10.068 -1.315 2.910
Te 10.068 -2.855 7.116
```

The total DFT energy (no corrections) comes out at -7.1941 eV/atom. The crystal system is orthorhombic. The total moment is 11.947 μB per formula unit.


3.
Crystalline SmPu4Te5 at its relaxed geometry, computed with PBE.

```
10
Lattice="-2.218 3.139 11.098 2.218 -3.139 11.098 2.218 3.139 -11.098" Properties=species:S:1:pos:R:3 pbc="T T T"
Sm 0.000 0.000 0.000
Pu 0.000 0.000 4.444
Pu 0.000 0.000 8.895
Pu 0.000 0.000 13.302
Pu 0.000 0.000 17.752
Te 2.218 0.000 2.239
Te 2.218 0.000 6.670
Te 0.000 3.139 0.000
Te 0.000 3.139 4.429
Te 0.000 3.139 8.859
```

The total DFT energy (no corrections) comes out at -8.9315 eV/atom. The crystal system is orthorhombic. The total moment is 23.476 μB per formula unit.


4.
Crystalline SmPuTe2 at its relaxed geometry, computed with PBE.

```
4
Lattice="2.141 1.236 7.826 -2.141 1.236 7.826 0.000 -2.472 7.826" Properties=species:S:1:pos:R:3 pbc="T T T"
Sm 0.000 0.000 0.000
Pu 0.000 0.000 4.053
Te 0.000 0.000 13.724
Te 0.000 0.000 17.700
```

The value obtained for the excess energy over the best structure of this formula in the dataset is 55 meV per atom. The crystal system is trigonal. The total moment is 5.480 μB per formula unit.


5.
Crystalline SmPuTe2 at its relaxed geometry, computed with PBE.

```
4
Lattice="0.000 3.835 3.835 3.835 0.000 3.835 3.835 3.835 0.000" Properties=species:S:1:pos:R:3 pbc="T T T"
Sm 0.000 0.000 0.000
Pu 3.835 3.835 3.835
Te 1.917 1.917 1.917
Te 5.752 5.752 5.752
```

The value obtained for the excess energy over the best structure of this formula in the dataset is 149 meV per atom. The crystal system is cubic. The total moment is 6.789 μB per formula unit.


6.
Crystalline SmPuTe3 at its relaxed geometry, computed with PBE.

```
10
Lattice="4.369 0.000 0.000 0.000 7.672 0.000 0.000 0.000 9.812" Properties=species:S:1:pos:R:3 pbc="T T T"
Sm 1.092 1.918 0.984
Sm 3.276 5.754 8.828
Pu 1.092 5.754 3.379
Pu 3.276 1.918 6.433
Te 1.092 0.186 8.103
Te 1.092 1.918 4.262
Te 1.092 3.650 8.103
Te 3.276 4.022 1.710
Te 3.276 5.754 5.550
Te 3.276 7.486 1.710
```

The value obtained for the excess energy over the best structure of this formula in the dataset is 0 meV per atom. The crystal system is orthorhombic. The total moment is 5.034 μB per formula unit.


7.
Crystalline SmPuTe at its relaxed geometry, computed with PBE.

```
6
Lattice="2.890 -2.252 0.000 2.890 2.252 0.000 -1.725 0.000 11.953" Properties=species:S:1:pos:R:3 pbc="T T T"
Sm 0.623 0.000 4.573
Sm 3.432 0.000 7.379
Pu 1.085 0.000 0.441
Pu 2.971 0.000 11.512
Te 0.600 0.000 9.458
Te 3.455 0.000 2.495
```

The value obtained for the excess energy over the best structure of this formula in the dataset is 85 meV per atom. The crystal system is monoclinic. The total moment is 0.000 μB per formula unit.


8.
Crystalline SmPuTe3 at its relaxed geometry, computed with PBE.

```
10
Lattice="-3.009 5.662 4.890 3.009 -5.662 4.890 3.009 5.662 -4.890" Properties=species:S:1:pos:R:3 pbc="T T T"
Sm 0.000 0.000 0.000
Sm 0.000 5.662 0.000
Pu 3.009 2.831 0.540
Pu 0.000 2.831 4.350
Te 3.009 -0.466 1.589
Te 3.009 5.196 -1.589
Te 0.000 2.831 1.106
Te 3.009 2.831 3.784
Te 0.000 0.466 6.479
Te 0.000 6.128 3.302
```

The value obtained for the excess energy over the best structure of this formula in the dataset is 82 meV per atom. The crystal system is orthorhombic. The total moment is 5.388 μB per formula unit.


9.
Crystalline Sm2PuTh3Te6 at its relaxed geometry, computed with PBE.

```
12
Lattice="9.862 -2.188 0.000 9.862 2.188 0.000 -2.675 0.000 8.652" Properties=species:S:1:pos:R:3 pbc="T T T"
Sm 2.376 0.000 2.898
Sm 14.672 0.000 5.754
Pu 9.862 0.000 0.000
Th 1.079 0.000 7.261
Th 8.524 0.000 4.326
Th 15.969 0.000 1.391
Te -0.646 0.000 2.113
Te 17.694 0.000 6.539
Te 5.425 0.000 3.605
Te 4.190 0.000 7.878
Te 12.858 0.000 0.774
Te 11.622 0.000 5.047
```

The total DFT energy (no corrections) comes out at -6.5548 eV/atom. The crystal system is monoclinic. The total moment is 5.509 μB per formula unit.


10.
Crystalline SmPu2ThTe5 at its relaxed geometry, computed with PBE.

```
9
Lattice="5.620 0.000 0.000 0.000 5.620 0.000 0.000 0.000 11.860" Properties=species:S:1:pos:R:3 pbc="T T T"
Sm 0.000 0.000 0.000
Pu 2.810 2.810 1.856
Pu 2.810 2.810 10.004
Th 0.000 0.000 5.930
Te 0.000 0.000 3.029
Te 0.000 0.000 8.831
Te 0.000 2.810 0.000
Te 2.810 0.000 0.000
Te 2.810 2.810 5.930
```

The total DFT energy (no corrections) comes out at -6.7950 eV/atom. The crystal system is tetragonal. The total moment is 12.675 μB per formula unit.


11.
Crystalline Sm3Pu2ThTe6 at its relaxed geometry, computed with PBE.

```
12
Lattice="9.693 -2.208 0.000 9.693 2.208 0.000 -2.100 0.000 8.686" Properties=species:S:1:pos:R:3 pbc="T T T"
Sm 0.000 0.000 0.000
Sm 5.090 0.000 5.784
Sm 12.195 0.000 2.902
Pu 6.120 0.000 1.451
Pu 11.165 0.000 7.235
Th -1.050 0.000 4.343
Te 3.075 0.000 0.718
Te 2.033 0.000 5.093
Te 9.160 0.000 2.135
Te 8.125 0.000 6.551
Te 15.252 0.000 3.593
Te 14.211 0.000 7.968
```

The total DFT energy (no corrections) comes out at -6.9935 eV/atom. The crystal system is monoclinic. The total moment is 11.875 μB per formula unit.


12.
Crystalline SmPu2Tl3Te6 at its relaxed geometry, computed with PBE.

```
12
Lattice="3.906 -6.764 0.000 3.906 6.764 0.000 -2.604 0.000 8.152" Properties=species:S:1:pos:R:3 pbc="T T T"
Sm 0.000 0.000 0.000
Pu 3.906 2.255 0.000
Pu 3.906 -2.255 0.000
Tl 2.604 4.514 4.076
Tl 2.604 0.000 4.076
Tl 2.604 -4.514 4.076
Te 1.312 2.272 1.759
Te 0.021 0.000 6.398
Te 1.312 -2.272 1.759
Te 3.896 2.272 6.394
Te 5.187 0.000 1.754
Te 3.896 -2.272 6.394
```

The total DFT energy (no corrections) comes out at -5.8186 eV/atom. The crystal system is monoclinic. The total moment is 10.004 μB per formula unit.


13.
Crystalline Sm3PuTl4Te8 at its relaxed geometry, computed with PBE.

```
16
Lattice="4.522 2.611 8.158 -4.522 2.611 8.158 0.000 -5.222 8.158" Properties=species:S:1:pos:R:3 pbc="T T T"
Sm -2.261 -1.305 8.158
Sm -2.261 1.305 16.315
Sm 0.000 2.611 8.158
Pu 0.000 0.000 0.000
Tl -4.522 0.000 12.236
Tl -2.261 1.305 4.079
Tl 2.261 1.305 4.079
Tl 0.000 0.000 12.236
Te 0.000 -2.614 9.929
Te -2.264 1.307 9.929
Te 0.000 0.000 6.374
Te -2.264 -1.307 14.544
Te 2.264 1.307 9.929
Te 0.000 0.000 18.099
Te 2.264 -1.307 14.544
Te 0.000 2.614 14.544
```

The total DFT energy (no corrections) comes out at -4.9355 eV/atom. The crystal system is trigonal. The total moment is 5.022 μB per formula unit.


14.
Crystalline Sm2PuTl3Te6 at its relaxed geometry, computed with PBE.

```
12
Lattice="3.919 -6.788 0.000 3.919 6.788 0.000 -2.613 0.000 8.143" Properties=species:S:1:pos:R:3 pbc="T T T"
Sm 3.919 4.526 0.000
Sm 3.919 -4.526 0.000
Pu 3.919 0.000 0.000
Tl -1.306 0.000 4.071
Tl 2.613 2.269 4.071
Tl 2.613 -2.269 4.071
Te 0.004 2.258 6.375
Te 1.314 0.000 1.772
Te 0.004 -2.258 6.375
Te 5.222 2.258 1.768
Te 3.912 0.000 6.370
Te 5.222 -2.258 1.768
```

The total DFT energy (no corrections) comes out at -5.1083 eV/atom. The crystal system is monoclinic. The total moment is 5.012 μB per formula unit.


15.
Crystalline Sm3Tm2PuTe6 at its relaxed geometry, computed with PBE.

```
12
Lattice="9.611 -2.178 0.000 9.611 2.178 0.000 -2.138 0.000 8.589" Properties=species:S:1:pos:R:3 pbc="T T T"
Sm 0.000 0.000 0.000
Sm 5.040 0.000 5.723
Sm 12.043 0.000 2.866
Tm 6.112 0.000 1.486
Tm 10.972 0.000 7.103
Pu -1.069 0.000 4.294
Te 1.961 0.000 5.079
Te 3.130 0.000 0.652
Te 9.027 0.000 2.147
Te 8.057 0.000 6.441
Te 13.954 0.000 7.937
Te 15.123 0.000 3.509
```

The total DFT energy (no corrections) comes out at -5.9735 eV/atom. The crystal system is monoclinic. The total moment is 6.102 μB per formula unit.


16.
Crystalline SmTm2Pu3Te6 at its relaxed geometry, computed with PBE.

```
12
Lattice="9.570 -2.188 0.000 9.570 2.188 0.000 -1.978 0.000 8.573" Properties=species:S:1:pos:R:3 pbc="T T T"
Sm 0.000 0.000 0.000
Tm 5.076 0.000 5.708
Tm 12.085 0.000 2.865
Pu -0.989 0.000 4.286
Pu 6.098 0.000 1.416
Pu 11.064 0.000 7.157
Te 3.043 0.000 0.786
Te 2.099 0.000 4.965
Te 8.031 0.000 6.400
Te 9.130 0.000 2.172
Te 15.062 0.000 3.608
Te 14.118 0.000 7.787
```

The total DFT energy (no corrections) comes out at -7.4810 eV/atom. The crystal system is monoclinic. The total moment is 5.975 μB per formula unit.


17.
Crystalline Sm3TmPu2Te6 at its relaxed geometry, computed with PBE.

```
12
Lattice="9.640 -2.197 0.000 9.640 2.197 0.000 -2.105 0.000 8.618" Properties=species:S:1:pos:R:3 pbc="T T T"
Sm 0.000 0.000 0.000
Sm 4.976 0.000 5.733
Sm 12.199 0.000 2.885
Tm -1.053 0.000 4.309
Pu 6.087 0.000 1.434
Pu 11.088 0.000 7.184
Te 1.909 0.000 5.023
Te 3.052 0.000 0.709
Te 8.059 0.000 6.390
Te 9.117 0.000 2.228
Te 14.123 0.000 7.909
Te 15.267 0.000 3.595
```

The total DFT energy (no corrections) comes out at -6.7825 eV/atom. The crystal system is monoclinic. The total moment is 11.946 μB per formula unit.


18.
Crystalline SmTm3Pu2Te6 at its relaxed geometry, computed with PBE.

```
12
Lattice="9.549 -2.170 0.000 9.549 2.170 0.000 -2.123 0.000 8.527" Properties=species:S:1:pos:R:3 pbc="T T T"
Sm 0.000 0.000 0.000
Tm -1.061 0.000 4.263
Tm 6.026 0.000 1.417
Tm 10.949 0.000 7.110
Pu 4.964 0.000 5.692
Pu 12.011 0.000 2.835
Te 1.898 0.000 5.021
Te 3.070 0.000 0.668
Te 8.958 0.000 2.191
Te 8.017 0.000 6.335
Te 13.905 0.000 7.859
Te 15.078 0.000 3.506
```

The total DFT energy (no corrections) comes out at -6.6789 eV/atom. The crystal system is monoclinic. The total moment is 12.112 μB per formula unit.


19.
Crystalline Sm4Y3PuTe8 at its relaxed geometry, computed with PBE.

```
16
Lattice="4.405 2.543 7.231 -4.405 2.543 7.231 0.000 -5.087 7.231" Properties=species:S:1:pos:R:3 pbc="T T T"
Sm 0.000 0.000 0.000
Sm -2.203 -1.272 7.231
Sm -2.203 1.272 14.461
Sm 0.000 2.543 7.231
Y -4.405 0.000 10.846
Y -2.203 1.272 3.615
Y 2.203 1.272 3.615
Pu 0.000 0.000 10.846
Te -2.214 -1.278 12.615
Te 0.000 0.000 5.374
Te 0.000 -2.556 9.077
Te -2.214 1.278 9.077
Te 2.214 -1.278 12.615
Te 0.000 2.556 12.615
Te 0.000 0.000 16.318
Te 2.214 1.278 9.077
```

The total DFT energy (no corrections) comes out at -6.1882 eV/atom. The crystal system is trigonal. The total moment is 6.070 μB per formula unit.


20.
Crystalline Sm3YPu3Te8 at its relaxed geometry, computed with PBE.

```
15
Lattice="4.425 2.555 7.230 -4.425 2.555 7.230 0.000 -5.109 7.230" Properties=species:S:1:pos:R:3 pbc="T T T"
Sm -2.212 -1.277 7.230
Sm -2.212 1.277 14.461
Sm 0.000 2.555 7.230
Y 0.000 0.000 0.000
Pu -4.425 0.000 10.846
Pu -2.212 1.277 3.615
Pu 2.212 1.277 3.615
Te 0.000 0.000 5.403
Te 0.000 -2.546 9.048
Te -2.205 1.273 9.048
Te -2.205 -1.273 12.643
Te 2.205 1.273 9.048
Te 2.205 -1.273 12.643
Te 0.000 2.546 12.643
Te 0.000 0.000 16.288
```

The total DFT energy (no corrections) comes out at -7.2204 eV/atom. The crystal system is trigonal. The total moment is 17.656 μB per formula unit.